(1)
20
Lattice="-0.1157 -1.1743 -2.5907 10.0481 0.1771 -0.5289 0.3793 -9.1658 4.1376" Properties=species:S:1:pos:R:3 comment="Na2MnB2Pt5 (PBE-GGA, relaxed)" vol_a3_per_atom=14.42 formation_energy_ev_per_atom=-0.335 pbc="T T T"
Na 6.9129 -1.5397 0.3893
Na 3.5145 -7.4490 3.2195
Na 1.9411 -2.8905 1.2235
Na 8.4864 -6.0982 2.3852
Mn 0.0000 0.0000 0.0000
Mn 5.2137 -4.4944 1.8044
B 1.5036 -5.7155 2.5235
B 8.9239 -3.2732 1.0852
B 6.6217 -7.9000 3.2852
B 3.8058 -1.0887 0.3236
Pt 2.1952 -1.1212 -1.1539
Pt 8.1165 -9.0418 2.1719
Pt 0.8659 -7.7083 1.8912
Pt 7.3615 -4.4689 0.1328
Pt 9.4459 -2.4547 -0.8732
Pt 2.9503 -5.6941 0.8852
Pt 5.8686 -7.1040 1.3939
Pt 4.4432 -3.0590 -0.3759
Pt 4.9662 -0.4986 -1.5598
Pt 0.1318 -5.1701 0.7734

(2)
5
Lattice="-2.4231 -2.2537 -3.6737 -1.6806 -3.5498 3.2862 -3.9928 2.7606 0.9401" Properties=species:S:1:pos:R:3 comment="RbNaMnB2 (PBE-GGA, relaxed)" vol_a3_per_atom=25.04 formation_energy_ev_per_atom=2.140 pbc="T T T"
Na 0.0000 0.0000 0.0000
B -1.9964 1.3803 0.4700
B -1.2116 -1.1269 -1.8368
Mn -0.8403 -1.7749 1.6431
Rb -4.0483 -1.5215 0.2763